(1)
Below is a relaxed structure of PrHf2C3, with properties calculated at the PBE level.

Cell and atoms, written as POSCAR:
```
PrHf2C3
1.0
-2.118 2.629 -0.470
-1.245 -3.066 0.818
0.606 1.983 8.353
C Hf Pr
3 2 1
Direct
0.333 0.667 0.297
0.000 0.000 0.000
0.667 0.333 0.703
0.667 0.333 0.155
0.333 0.667 0.845
0.000 0.000 0.500
```

Results
**Uncorrected energy**: -54.883 eV/cell
**Theoretical density**: 10.2 g/cm³
**Calculated volume**: 14.4 A^3/atom

=====

(2)
Below is a relaxed structure of ErZnGa2Ir4, with properties calculated at the PBE level.

Cell and atoms, written as POSCAR:
```
ErZnGa2Ir4
1.0
-0.137 -4.377 -0.359
1.639 0.282 -4.067
5.897 -0.377 2.350
Ir Ga Zn Er
4 2 1 1
Direct
0.500 0.000 0.770
0.500 0.000 0.230
0.000 0.500 0.230
0.000 0.500 0.770
0.000 0.000 0.000
0.500 0.500 0.500
0.500 0.500 0.000
0.000 0.000 0.500
```

Results
**Uncorrected energy**: -51.222 eV/cell
**Theoretical density**: 15.4 g/cm³
**Calculated volume**: 15.3 A^3/atom

=====

(3)
Below is a relaxed structure of Nb4SiSbC2, with properties calculated at the PBE level.

Cell and atoms, written as POSCAR:
```
Nb4SiSbC2
1.0
3.294 0.000 0.000
-1.647 2.853 0.000
0.000 0.000 12.847
Nb Sb C Si
4 1 2 1
Direct
0.000 0.000 0.646
0.000 0.000 0.354
0.667 0.333 0.173
0.667 0.333 0.827
0.000 0.000 0.000
0.333 0.667 0.261
0.333 0.667 0.739
0.667 0.333 0.500
```

Results
**Uncorrected energy**: -71.985 eV/cell
**Theoretical density**: 7.5 g/cm³
**Calculated volume**: 15.1 A^3/atom

=====

Q: Among the records above, which one has the highest theoretical density?
A: ErZnGa2Ir4

=====

Q: Number 3 is which compound?
A: Nb4SiSbC2